1.
Here is a geometry-optimized LaPmW structure from OQMD. Energies are from PBE-GGA.

The crystal system is cubic. The formation energy is 0.7594 eV per atom.

The space group is F-43m (No. 216) and the conventional cell measures 7.0298, 7.0298 and 7.0298 Å, with angles of 90.00, 90.00 and 90.00 degrees. Symmetry generates all atoms from La at (0.0000, 0.0000, 0.0000), Pm at (0.0000, 0.0000, 0.5000) and W at (0.2500, 0.2500, 0.2500).

***

2.
Here is a geometry-optimized HfCo2Si structure from OQMD. Energies are from PBE-GGA.

The calculation puts the total DFT energy (no corrections) at -0.5525 Ry per atom. The crystal system is cubic.

The space group is F-43m (No. 216) and the conventional cell measures 5.9763, 5.9763 and 5.9763 Å, with angles of 90.00, 90.00 and 90.00 degrees. Symmetry generates all atoms from Hf at (0.0000, 0.0000, 0.0000), Co at (0.0000, 0.0000, 0.5000), Co at (0.2500, 0.2500, 0.2500) and Si at (0.2500, 0.2500, 0.7500).

***

3.
Here is a geometry-optimized TcBNO structure from OQMD. Energies are from PBE-GGA.

As for the energy above the most stable polymorph in this dataset: 0 meV/atom. The crystal system is orthorhombic.

The space group is Pca2_1 (No. 29) and the conventional cell measures 5.2492, 6.7367 and 4.4676 Å, with angles of 90.00, 90.00 and 90.00 degrees. Symmetry generates all atoms from Tc at (0.1055, 0.0637, 0.0000), B at (0.0099, 0.4036, 0.4990), N at (0.0489, 0.2059, 0.3969) and O at (0.0167, 0.5682, 0.3094).

***

4.
Here is a geometry-optimized Sr2Tb2NO5 structure from OQMD. Energies are from PBE-GGA.

The calculation puts the total DFT energy (no corrections) at -0.4936 Ry per atom. The crystal system is tetragonal.

The space group is P4/mmm (No. 123) and the conventional cell measures 4.2938, 4.2938 and 8.9427 Å, with angles of 90.00, 90.00 and 90.00 degrees. Symmetry generates all atoms from Sr at (0.0000, 0.0000, 0.0000), Sr at (0.0000, 0.0000, 0.5000), Tb at (0.5000, 0.5000, 0.2427), N at (0.5000, 0.5000, 0.5000), O at (0.0000, 0.5000, 0.2901) and O at (0.5000, 0.5000, 0.0000).

***

5.
Here is a geometry-optimized Mg2BeNi structure from OQMD. Energies are from PBE-GGA.

The calculation puts the total DFT energy (no corrections) at -0.2211 Ry per atom. The crystal system is cubic.

The space group is F-43m (No. 216) and the conventional cell measures 6.0886, 6.0886 and 6.0886 Å, with angles of 90.00, 90.00 and 90.00 degrees. Symmetry generates all atoms from Mg at (0.0000, 0.0000, 0.0000), Mg at (0.2500, 0.2500, 0.2500), Be at (0.0000, 0.0000, 0.5000) and Ni at (0.2500, 0.2500, 0.7500).

***

6.
Here is a geometry-optimized K2CdC4N4 structure from OQMD. Energies are from PBE-GGA.

The calculation puts the total DFT energy (no corrections) at -0.4938 Ry per atom. The crystal system is cubic.

The space group is Fd-3m (No. 227, origin choice 2) and the conventional cell measures 12.7056, 12.7056 and 12.7056 Å, with angles of 90.00, 90.00 and 90.00 degrees. Symmetry generates all atoms from K at (0.0000, 0.0000, 0.0000), Cd at (0.1250, 0.1250, 0.6250), C at (0.0254, 0.0254, 0.7246) and N at (0.0279, 0.0279, 0.2221).